(1)
Compound: AcNdSe3
Source: the Alexandria database
Functional: PBE
Structure: optimized geometry

## Properties
Calculated volume (Å³/cell): 298.8
Polymorph energy (0 for the lowest one) (meV per atom): 36
Total DFT energy (no corrections) (eV per formula unit): -29.036
Formation energy (no corrections) (eV per atom): -1.94

Cell lengths 4.363, 7.227, 9.476 Å; angles 90.00, 90.00, 90.00 degrees
Space group Pmmn (No. 59, origin choice 2)
Unique sites:
Ac  0.250  0.250  0.148 x2
Nd  0.250  0.750  0.402 x2
Se  0.250  0.518  0.666 x4
Se  0.250  0.750  0.075 x2



(2)
Compound: KBe2Pt
Source: the Alexandria database
Functional: PBE
Structure: optimized geometry

## Properties
Calculated volume (Å³/cell): 121.6
Polymorph energy (0 for the lowest one) (meV per atom): 996
Formation energy (eV per atom): 0.7106
Total DFT energy (no corrections) (eV per formula unit): -11.748

Cell lengths 6.675, 6.643, 2.775 Å; angles 90.00, 98.82, 90.00 degrees
Space group C2/m (No. 12)
Unique sites:
K  0.000  0.000  0.000 x2
Be  0.250  0.250  0.500 x4
Pt  0.000  0.500  0.000 x2



(3)
Compound: Pr3Nd4Tm
Source: the Alexandria database
Functional: PBE
Structure: optimized geometry

## Properties
Calculated volume (Å³/cell): 559.4
Polymorph energy (0 for the lowest one) (meV per atom): 164
Formation energy (eV per atom): 0.1761
Total DFT energy (no corrections) (eV per formula unit): -36.473

Cell lengths 24.384, 3.471, 6.885 Å; angles 90.00, 106.29, 90.00 degrees
Space group C2/m (No. 12)
Unique sites:
Pr  0.000  0.000  0.000 x2
Pr  0.125  0.000  0.384 x4
Nd  0.124  0.000  0.864 x4
Nd  0.240  0.500  0.237 x4
Tm  0.000  0.500  0.500 x2



(4)
Compound: LiTm4Hg2
Source: the Alexandria database
Functional: PBE
Structure: optimized geometry

## Properties
Calculated volume (Å³/cell): 579.6
Formation energy (eV per atom): -0.0690
Total DFT energy (no corrections) (eV per formula unit): -20.887

Cell lengths 5.0870, 5.0870, 25.8613 Å; angles 90.00, 90.00, 120.00 degrees
Space group R-3m (No. 166, hexagonal axes)
Unique sites:
Li  0.0000  0.0000  0.0000 x3
Tm  0.0000  0.0000  0.2132 x6
Tm  0.0000  0.0000  0.3744 x6
Hg  0.0000  0.0000  0.0953 x6



> The lowest calculated volume belongs to which entry?

KBe2Pt